A plane-wave DFT calculation with PBEsol was carried out for a geometry-optimized Zr2C3 structure.

abc: 3.2111 3.2111 18.0066
angles: 90.00 90.00 120.00
Space group R-3m (No. 166, hexagonal axes)
Inequivalent atoms, fractional coordinates:
Zr 0.0000 0.0000 0.0906
C 0.0000 0.0000 0.3302
C 0.0000 0.0000 0.5000

Density = 6.77 Mg/m³
Density of states at the Fermi level = 3.18 states/eV per cell
Raw total energy = -141.831 eV per cell

***

A plane-wave DFT calculation with PBEsol was carried out for a geometry-optimized Rb2TeH6SO10 structure.

abc: 13.447 6.641 11.470
angles: 90.00 107.25 90.00
Space group P2_1/c (No. 14)
Inequivalent atoms, fractional coordinates:
Rb 0.138 0.003 0.403
Rb 0.362 0.021 0.162
Te 0.000 0.000 0.000
Te 0.500 0.000 0.500
H 0.083 0.011 0.829
H 0.110 0.745 0.140
H 0.137 0.210 0.139
H 0.360 0.248 0.414
H 0.390 0.561 0.136
H 0.421 0.674 0.404
S 0.251 0.510 0.266
O 0.036 0.586 0.356
O 0.043 0.736 0.069
O 0.137 0.115 0.071
O 0.162 0.127 0.763
O 0.216 0.722 0.248
O 0.296 0.053 0.668
O 0.331 0.008 0.888
O 0.361 0.096 0.416
O 0.447 0.642 0.117
O 0.477 0.733 0.894

Density = 3.37 Mg/m³
Density of states at the Fermi level = 0.00 states/eV per cell
Raw total energy = -436.865 eV per cell

***

A plane-wave DFT calculation with PBEsol was carried out for a geometry-optimized Ca2TcTe structure.

abc: 4.366 4.366 9.903
angles: 90.00 90.00 90.00
Space group I-4m2 (No. 119)
Inequivalent atoms, fractional coordinates:
Ca 0.000 0.000 0.000
Ca 0.000 0.500 0.250
Tc 0.000 0.000 0.500
Te 0.000 0.500 0.750

Density = 5.38 Mg/m³
Density of states at the Fermi level = 6.32 states/eV per cell
Formation energy without anion corrections = 41.9 kJ/mol of formula units

***

A plane-wave DFT calculation with PBEsol was carried out for a geometry-optimized Rb2TaO structure.

abc: 12.770 12.770 3.915
angles: 90.00 90.00 90.00
Space group I-42d (No. 122)
Inequivalent atoms, fractional coordinates:
Rb 0.065 0.750 0.125
Ta 0.000 0.000 0.500
O 0.000 0.000 0.000

Density = 3.83 Mg/m³
Density of states at the Fermi level = 10.58 states/eV per cell
Formation energy without anion corrections = -77.2 kJ/mol of formula units

***

A plane-wave DFT calculation with PBEsol was carried out for a geometry-optimized NaLaScSbO6 structure.

abc: 5.580 5.663 9.702
angles: 90.00 125.07 90.00
Space group Pc (No. 7)
Inequivalent atoms, fractional coordinates:
Na 0.000 0.224 0.000
La 0.516 0.293 0.501
Sc 0.258 0.243 0.752
Sb 0.756 0.246 0.251
O 0.086 0.230 0.495
O 0.434 0.273 0.007
O 0.514 0.048 0.296
O 0.588 0.473 0.794
O 0.909 0.039 0.706
O 0.994 0.460 0.211

Density = 5.62 Mg/m³
Density of states at the Fermi level = 0.00 states/eV per cell
Formation energy without anion corrections = -2531.6 kJ/mol of formula units

***

A plane-wave DFT calculation with PBEsol was carried out for a geometry-optimized BeHgSe structure.

abc: 6.395 6.395 6.395
angles: 90.00 90.00 90.00
Space group F-43m (No. 216)
Inequivalent atoms, fractional coordinates:
Be 0.000 0.000 0.000
Hg 0.000 0.000 0.500
Se 0.250 0.250 0.750

Density = 7.33 Mg/m³
Density of states at the Fermi level = 4.41 states/eV per cell
Formation energy without anion corrections = 166.8 kJ/mol of formula units

***

A plane-wave DFT calculation with PBEsol was carried out for a geometry-optimized Ba3HoRu2O9 structure.

abc: 5.8512 5.8512 14.3344
angles: 90.00 90.00 120.00
Space group P6_3/mmc (No. 194)
Inequivalent atoms, fractional coordinates:
Ba 0.0000 0.0000 0.2500
Ba 0.3333 0.6667 0.0941
Ho 0.0000 0.0000 0.0000
Ru 0.3333 0.6667 0.6645
O 0.0182 0.5091 0.7500
O 0.1763 0.3526 0.5879

Density = 7.21 Mg/m³
Density of states at the Fermi level = 10.85 states/eV per cell
Formation energy without anion corrections = -3319.2 kJ/mol of formula units

***

A plane-wave DFT calculation with PBEsol was carried out for a geometry-optimized DyAl structure.

abc: 5.770 11.307 5.535
angles: 90.00 90.00 90.00
Space group Pbcm (No. 57)
Inequivalent atoms, fractional coordinates:
Dy 0.097 0.168 0.250
Dy 0.339 0.015 0.750
Al 0.161 0.597 0.750
Al 0.432 0.750 0.000

Density = 6.97 Mg/m³
Density of states at the Fermi level = 11.81 states/eV per cell
Raw total energy = -79.205 eV per cell

***

A plane-wave DFT calculation with PBEsol was carried out for a geometry-optimized BaTe6Mo6 structure.

abc: 9.3477 9.3477 4.5646
angles: 90.00 90.00 120.00
Space group P-6 (No. 174)
Inequivalent atoms, fractional coordinates:
Ba 0.0000 0.0000 0.0000
Te 0.0219 0.7276 0.5000
Te 0.4057 0.0429 0.0000
Mo 0.1569 0.5211 0.5000
Mo 0.1901 0.6998 0.0000

Density = 7.11 Mg/m³
Density of states at the Fermi level = 1.55 states/eV per cell
Formation energy without anion corrections = -591.7 kJ/mol of formula units

***

A plane-wave DFT calculation with PBEsol was carried out for a geometry-optimized AlFe2As structure.

abc: 6.615 6.615 5.136
angles: 90.00 90.00 90.00
Space group I-42d (No. 122)
Inequivalent atoms, fractional coordinates:
Al 0.000 0.000 0.000
Fe 0.223 0.750 0.625
As 0.000 0.000 0.500

Density = 6.31 Mg/m³
ΔE to the lowest computed polymorph = 381.9 meV/atom
Density of states at the Fermi level = 18.70 states/eV per cell

***

A plane-wave DFT calculation with PBEsol was carried out for a geometry-optimized Mn5Os structure.

abc: 9.132 2.547 5.875
angles: 90.00 104.64 90.00
Space group Cm (No. 8)
Inequivalent atoms, fractional coordinates:
Mn 0.000 0.000 0.000
Mn 0.052 0.000 0.591
Mn 0.169 0.500 0.334
Mn 0.341 0.000 0.652
Mn 0.394 0.000 0.275
Os 0.222 0.500 0.933

Density = 11.68 Mg/m³
Density of states at the Fermi level = 14.91 states/eV per cell
Raw total energy = -121.478 eV per cell

***

A plane-wave DFT calculation with PBEsol was carried out for a geometry-optimized NaReRh3 structure.

abc: 4.674 4.674 4.674
angles: 90.00 90.00 90.00
Space group Pm-3m (No. 221)
Inequivalent atoms, fractional coordinates:
Na 0.000 0.000 0.000
Re 0.500 0.500 0.500
Rh 0.000 0.500 0.500

Density = 8.42 Mg/m³
Density of states at the Fermi level = 3.26 states/eV per cell
Raw total energy = -33.972 eV per cell